# 1
Crystalline CeSm8Er5 at its relaxed geometry, computed with PBE.

## Properties
- DFT formation energy (eV/atom) = 0.26
- space group = No. 82

abc: 8.4745 8.4745 8.4745
angles: 111.84 111.84 104.83
Fractional positions:
Ce1 0.0000 0.0000 0.0000
Sm1 0.0833 0.3145 0.4011
Sm2 0.1774 0.4233 0.8950
Sm3 0.3178 0.9167 0.2312
Sm4 0.5283 0.2824 0.1050
Sm5 0.5767 0.4717 0.7541
Sm6 0.6855 0.0866 0.7688
Sm7 0.7176 0.8226 0.2459
Sm8 0.9134 0.6822 0.5989
Er1 0.2123 0.0282 0.5948
Er2 0.3824 0.7877 0.8158
Er3 0.4334 0.6176 0.4052
Er4 0.7500 0.2500 0.5000
Er5 0.9718 0.5666 0.1842



# 2
Crystalline NdPu2Hg at its relaxed geometry, computed with PBE.

## Properties
- DFT formation energy (eV/atom) = 0.09
- space group = No. 123

abc: 4.1507 4.1507 6.6374
angles: 90.00 90.00 90.00
Fractional positions:
Nd1 0.0000 0.0000 0.0000
Pu1 0.5000 0.5000 0.2715
Pu2 0.5000 0.5000 0.7285
Hg1 0.0000 0.0000 0.5000



Q: The highest DFT formation energy belongs to which entry?
A: CeSm8Er5



Q: What is the formula in the second record?
A: NdPu2Hg



Q: The lowest DFT formation energy belongs to which entry?
A: NdPu2Hg



Q: The highest DFT formation energy belongs to which entry?
A: CeSm8Er5